No. 1
Here is a geometry-optimized Dy3BiAsS structure from the Alexandria database. Energies are from PBE.

Cell: 8.4821 4.3397 9.5339 Å, 90.00 101.96 90.00°
Space group P2_1/m (No. 11)
Inequivalent atoms, fractional coordinates:
Dy  0.0682  0.2500  0.3504
Dy  0.2790  0.2500  0.9955
Dy  0.3881  0.7500  0.6290
Bi  0.3176  0.7500  0.2811
As  0.1595  0.2500  0.6529
S  0.3932  0.7500  0.9038

## Properties
Energy relative to the elements, uncorrected in eV/f.u.: -7.2

---

No. 2
Here is a geometry-optimized CeAs2Rh structure from the Alexandria database. Energies are from PBE.

Cell: 4.0809 4.0809 16.6157 Å, 90.00 90.00 120.00°
Space group R-3m (No. 166, hexagonal axes)
Inequivalent atoms, fractional coordinates:
Ce  0.0000  0.0000  0.0000
As  0.0000  0.0000  0.2306
Rh  0.0000  0.0000  0.5000

## Properties
Calculated formation energy in kJ/mol of formula units: -356.9

---

No. 3
Here is a geometry-optimized Zn3POs structure from the Alexandria database. Energies are from PBE.

Cell: 4.4796 4.4796 4.4796 Å, 90.00 90.00 90.00°
Space group Pm-3m (No. 221)
Inequivalent atoms, fractional coordinates:
Zn  0.0000  0.0000  0.5000
P  0.0000  0.0000  0.0000
Os  0.5000  0.5000  0.5000

## Properties
Calculated formation energy in kJ/mol of formula units: 546.6

---

No. 4
Here is a geometry-optimized VNi7H6 structure from the Alexandria database. Energies are from PBE.

Cell: 4.4573 4.4573 18.8600 Å, 90.00 90.00 120.00°
Space group R3 (No. 146, hexagonal axes)
Inequivalent atoms, fractional coordinates:
V  0.0000  0.0000  0.0000
Ni  0.0000  0.0000  0.3346
Ni  0.0073  0.3378  0.5557
Ni  0.0077  0.6725  0.7787
H  0.9999  0.6495  0.9382
H  0.0030  0.3487  0.0631

---

No. 5
Here is a geometry-optimized Hf2AuI2 structure from the Alexandria database. Energies are from PBE.

Cell: 8.3941 8.3941 3.3414 Å, 90.00 90.00 90.00°
Space group P4/mbm (No. 127)
Inequivalent atoms, fractional coordinates:
Hf  0.1588  0.3412  0.0000
Au  0.0000  0.0000  0.5000
I  0.1398  0.6398  0.5000

## Properties
Energy relative to the elements, uncorrected in eV/f.u.: 2.2

---

No. 6
Here is a geometry-optimized Ac2PdO6 structure from the Alexandria database. Energies are from PBE.

Cell: 7.9219 7.9219 7.9219 Å, 90.00 90.00 90.00°
Space group Fm-3m (No. 225)
Inequivalent atoms, fractional coordinates:
Ac  0.2500  0.2500  0.2500
Pd  0.0000  0.0000  0.0000
O  0.0000  0.0000  0.2485

## Properties
Energy relative to the elements, uncorrected in eV/f.u.: -16.6

---

No. 7
Here is a geometry-optimized Tb6Ga5Ag structure from the Alexandria database. Energies are from PBE.

Cell: 5.1012 7.1922 8.0624 Å, 90.00 108.23 90.00°
Space group P2/m (No. 10)
Inequivalent atoms, fractional coordinates:
Tb  0.0000  0.2467  0.0000
Tb  0.3320  0.2489  0.6638
Ga  0.1611  0.5000  0.3230
Ga  0.1656  0.0000  0.3317
Ga  0.5000  0.0000  0.0000
Ag  0.5000  0.5000  0.0000

## Properties
Calculated formation energy in kJ/mol of formula units: -622.6

---

No. 8
Here is a geometry-optimized Ni4RuPt structure from the Alexandria database. Energies are from PBE.

Cell: 6.6604 6.6604 6.6604 Å, 90.00 90.00 90.00°
Space group F-43m (No. 216)
Inequivalent atoms, fractional coordinates:
Ni  0.1250  0.1250  0.1250
Ru  0.0000  0.0000  0.5000
Pt  0.2500  0.2500  0.7500

## Properties
Calculated formation energy in kJ/mol of formula units: 43.1

---

Number 1: final energy -5.615 eV per atom. Number 2: final energy -6.571 eV per atom. Number 3: final energy -2.959 eV per atom. Number 4: final energy -5.005 eV per atom. Number 5: final energy -4.816 eV per atom. Number 6: final energy -6.640 eV per atom. Number 7: final energy -4.352 eV per atom. Number 8: final energy -6.332 eV per atom.